MgSiO | PBE-GGA | relaxed

Output
* raw formation energy: -1.286 eV per atom
* N(E_F): 0.114 states/eV/atom

abc: 5.253 2.973 10.919
angles: 90.00 98.22 90.00
Fractional positions:
1 Mg 0.672 0.000 0.854
2 Mg 0.672 0.500 0.354
3 Si 0.865 0.000 0.585
4 O 0.400 0.000 0.339
5 O 0.600 0.500 0.161
6 Mg 0.328 0.500 0.646
7 Si 0.135 0.500 0.915
8 Mg 0.328 0.000 0.146
9 Si 0.865 0.500 0.085
10 O 0.400 0.500 0.839
11 Si 0.135 0.000 0.415
12 O 0.600 0.000 0.661